Run w
The following is a DFT calculation (PBE) of crystalline Ba2CuIr at its relaxed geometry.

Structure (extended XYZ):
```
4
Lattice="-2.2101 2.2496 7.8295 2.2101 -2.2496 7.8295 2.2101 2.2496 -7.8295" Properties=species:S:1:pos:R:3 pbc="T T T"
Ba 0.0000 0.0000 0.0000
Ba 0.0000 2.2496 3.5630
Cu 2.2101 0.0000 2.3234
Ir 0.0000 0.0000 9.2626
```

Values from the calculation:
Mass density ... 5.66 g/cm3
M_tot ... 0.00 μB/f.u.



Run x
The following is a DFT calculation (PBE) of crystalline Ba2CuIr at its relaxed geometry.

Structure (extended XYZ):
```
4
Lattice="3.9787 -2.3005 0.0000 3.9787 2.3005 0.0000 -2.6651 0.0000 7.6316" Properties=species:S:1:pos:R:3 pbc="T T T"
Ba 1.3236 0.0000 1.6584
Ba 3.9687 0.0000 5.9732
Cu -1.3325 0.0000 3.8158
Ir 3.9787 0.0000 0.0000
```

Values from the calculation:
Mass density ... 6.30 g/cm3
M_tot ... 0.00 μB/f.u.



It is run w that is most stable; the runner-up trails by 18.7 kJ/mol of atoms.



Run w
The following is a DFT calculation (PBE) of crystalline BaCu2Ir at its relaxed geometry.

Structure (extended XYZ):
```
4
Lattice="-1.6456 2.5438 4.6791 1.6456 -2.5438 4.6791 1.6456 2.5438 -4.6791" Properties=species:S:1:pos:R:3 pbc="T T T"
Ba 0.0000 0.0000 0.0000
Cu 1.6456 0.0000 2.6978
Cu 0.0000 0.0000 4.6405
Ir 0.0000 2.5438 1.9620
```

Values from the calculation:
Mass density ... 9.68 g/cm3
M_tot ... 0.00 μB/f.u.



Run x
The following is a DFT calculation (PBE) of crystalline BaCu2Ir at its relaxed geometry.

Structure (extended XYZ):
```
4
Lattice="0.0000 3.4311 3.4311 3.4311 0.0000 3.4311 3.4311 3.4311 0.0000" Properties=species:S:1:pos:R:3 pbc="T T T"
Ba 0.0000 0.0000 0.0000
Cu 1.7155 1.7155 1.7155
Cu 3.4311 3.4311 3.4311
Ir 5.1466 5.1466 5.1466
```

Values from the calculation:
Mass density ... 9.39 g/cm3
M_tot ... 0.00 μB/f.u.



Run y
The following is a DFT calculation (PBE) of crystalline BaCu2Ir at its relaxed geometry.

Structure (extended XYZ):
```
4
Lattice="3.7587 -2.1702 0.0000 3.7587 2.1702 0.0000 -2.5281 0.0000 5.4525" Properties=species:S:1:pos:R:3 pbc="T T T"
Ba 0.0000 0.0000 0.0000
Cu -0.0114 0.0000 3.0596
Cu 5.0007 0.0000 2.3928
Ir 2.4947 0.0000 2.7262
```

Values from the calculation:
Mass density ... 8.52 g/cm3
M_tot ... 0.00 μB/f.u.



It is run y that is most stable; the runner-up trails by 52.4 kJ/mol of atoms.



Run w
The following is a DFT calculation (PBE) of crystalline BaCu2Ir at its relaxed geometry.

Structure (extended XYZ):
```
4
Lattice="3.1233 -3.1285 0.0000 3.1233 3.1285 0.0000 0.0000 0.0000 3.9403" Properties=species:S:1:pos:R:3 pbc="T T T"
Ba 0.0000 0.0000 0.0000
Cu 1.5617 1.5642 1.9701
Cu 1.5617 -1.5642 1.9701
Ir 3.1233 0.0000 0.0000
```

Values from the calculation:
Mass density ... 9.85 g/cm3
M_tot ... 0.00 μB/f.u.



Run x
The following is a DFT calculation (PBE) of crystalline BaCu2Ir at its relaxed geometry.

Structure (extended XYZ):
```
4
Lattice="3.1275 0.0000 0.0000 0.0000 3.6345 0.0000 0.0000 0.0000 6.8176" Properties=species:S:1:pos:R:3 pbc="T T T"
Ba 0.0000 0.0000 0.0000
Cu 1.5638 1.8172 2.2509
Cu 1.5638 1.8172 4.5667
Ir 0.0000 0.0000 3.4088
```

Values from the calculation:
Mass density ... 9.78 g/cm3
M_tot ... 0.00 μB/f.u.



Run y
The following is a DFT calculation (PBE) of crystalline BaCu2Ir at its relaxed geometry.

Structure (extended XYZ):
```
4
Lattice="0.0000 3.3932 3.3932 3.3932 0.0000 3.3932 3.3932 3.3932 0.0000" Properties=species:S:1:pos:R:3 pbc="T T T"
Ba 0.0000 0.0000 0.0000
Cu 1.6966 1.6966 1.6966
Cu 5.0898 5.0898 5.0898
Ir 3.3932 3.3932 3.3932
```

Values from the calculation:
Mass density ... 9.70 g/cm3
M_tot ... 0.00 μB/f.u.



It is run x that is most stable; the runner-up trails by 16.6 kJ/mol of atoms.



Run w
The following is a DFT calculation (PBE) of crystalline BaCu2Ir at its relaxed geometry.

Structure (extended XYZ):
```
4
Lattice="-2.1438 2.8384 3.6876 2.1438 -2.8384 3.6876 2.1438 2.8384 -3.6876" Properties=species:S:1:pos:R:3 pbc="T T T"
Ba 0.0000 0.0000 0.0000
Cu 2.1438 0.0000 2.4146
Cu 0.0000 2.8384 1.2730
Ir 0.0000 0.0000 3.6876
```

Values from the calculation:
Mass density ... 8.45 g/cm3
M_tot ... 0.00 μB/f.u.



Run x
The following is a DFT calculation (PBE) of crystalline BaCu2Ir at its relaxed geometry.

Structure (extended XYZ):
```
4
Lattice="3.3644 0.0000 0.0000 0.0000 4.3862 0.0000 -1.3069 0.0000 5.7980" Properties=species:S:1:pos:R:3 pbc="T T T"
Ba 0.0000 0.0000 0.0000
Cu 0.1481 2.1931 3.7679
Cu 1.9094 2.1931 2.0301
Ir 1.0287 0.0000 2.8990
```

Values from the calculation:
Mass density ... 8.86 g/cm3
M_tot ... 0.00 μB/f.u.



It is run x that is most stable; the runner-up trails by 1.9 kJ/mol of atoms.



Run w
The following is a DFT calculation (PBE) of crystalline KBa2Cu at its relaxed geometry.

Structure (extended XYZ):
```
4
Lattice="0.0000 4.3640 4.3640 4.3640 0.0000 4.3640 4.3640 4.3640 0.0000" Properties=species:S:1:pos:R:3 pbc="T T T"
K 0.0000 0.0000 0.0000
Ba 4.3640 4.3640 4.3640
Ba 6.5460 6.5460 6.5460
Cu 2.1820 2.1820 2.1820
```

Values from the calculation:
Mass density ... 3.77 g/cm3
M_tot ... 0.00 μB/f.u.



Run x
The following is a DFT calculation (PBE) of crystalline KBa2Cu at its relaxed geometry.

Structure (extended XYZ):
```
4
Lattice="4.7270 0.0000 0.0000 0.0000 4.4631 0.0000 -2.3533 0.0000 9.9426" Properties=species:S:1:pos:R:3 pbc="T T T"
K 0.0000 0.0000 0.0000
Ba 0.0071 2.2315 6.4830
Ba 2.3715 0.0000 3.4650
Cu 0.0112 2.2315 3.1519
```

Values from the calculation:
Mass density ... 2.99 g/cm3
M_tot ... 0.00 μB/f.u.



Run y
The following is a DFT calculation (PBE) of crystalline KBa2Cu at its relaxed geometry.

Structure (extended XYZ):
```
4
Lattice="0.0000 4.4490 4.4490 4.4490 0.0000 4.4490 4.4490 4.4490 0.0000" Properties=species:S:1:pos:R:3 pbc="T T T"
K 0.0000 0.0000 0.0000
Ba 2.2245 2.2245 2.2245
Ba 6.6735 6.6735 6.6735
Cu 4.4490 4.4490 4.4490
```

Values from the calculation:
Mass density ... 3.56 g/cm3
M_tot ... 0.00 μB/f.u.



It is run x that is most stable; the runner-up trails by 21.6 kJ/mol of atoms.



Run w
The following is a DFT calculation (PBE) of crystalline KBa2Cu at its relaxed geometry.

Structure (extended XYZ):
```
4
Lattice="4.0798 -2.3681 0.0000 4.0798 2.3681 0.0000 -2.8495 0.0000 11.4039" Properties=species:S:1:pos:R:3 pbc="T T T"
K 0.0000 0.0000 0.0000
Ba -0.0693 0.0000 7.4504
Ba 5.3793 0.0000 3.9535
Cu 2.6550 0.0000 5.7019
```

Values from the calculation:
Mass density ... 2.84 g/cm3
M_tot ... 0.00 μB/f.u.



Run x
The following is a DFT calculation (PBE) of crystalline KBa2Cu at its relaxed geometry.

Structure (extended XYZ):
```
4
Lattice="5.9387 0.0000 0.0000 0.0000 5.9387 0.0000 0.0000 0.0000 5.0853" Properties=species:S:1:pos:R:3 pbc="T T T"
K 0.0000 0.0000 0.0000
Ba 0.0000 2.9693 2.5427
Ba 2.9693 0.0000 2.5427
Cu 2.9693 2.9693 0.0000
```

Values from the calculation:
Mass density ... 3.49 g/cm3
M_tot ... 0.00 μB/f.u.



Run y
The following is a DFT calculation (PBE) of crystalline KBa2Cu at its relaxed geometry.

Structure (extended XYZ):
```
4
Lattice="2.9621 -2.9752 0.0000 2.9621 2.9752 0.0000 0.0000 0.0000 11.0284" Properties=species:S:1:pos:R:3 pbc="T T T"
K 0.0000 0.0000 0.0000
Ba 0.0000 0.0000 3.8521
Ba 2.9621 0.0000 7.3275
Cu 2.9621 0.0000 2.3143
```

Values from the calculation:
Mass density ... 3.22 g/cm3
M_tot ... 0.00 μB/f.u.



It is run w that is most stable; the runner-up trails by 11.6 kJ/mol of atoms.



Run w
The following is a DFT calculation (PBE) of crystalline KBa2Cu at its relaxed geometry.

Structure (extended XYZ):
```
4
Lattice="-2.6207 2.6207 6.6071 2.6207 -2.6207 6.6071 2.6207 2.6207 -6.6071" Properties=species:S:1:pos:R:3 pbc="T T T"
K 0.0000 0.0000 0.0000
Ba 2.6207 0.0000 3.3036
Ba 0.0000 0.0000 6.6071
Cu 0.0000 2.6207 3.3036
```

Values from the calculation:
Mass density ... 3.45 g/cm3
M_tot ... 0.00 μB/f.u.



Run x
The following is a DFT calculation (PBE) of crystalline KBa2Cu at its relaxed geometry.

Structure (extended XYZ):
```
4
Lattice="2.3622 1.3638 11.3535 -2.3622 1.3638 11.3535 0.0000 -2.7276 11.3535" Properties=species:S:1:pos:R:3 pbc="T T T"
K 0.0000 0.0000 0.0000
Ba 0.0000 0.0000 18.7629
Ba 0.0000 0.0000 26.6217
Cu 0.0000 0.0000 5.6609
```

Values from the calculation:
Mass density ... 2.85 g/cm3
M_tot ... 0.00 μB/f.u.



Run y
The following is a DFT calculation (PBE) of crystalline KBa2Cu at its relaxed geometry.

Structure (extended XYZ):
```
4
Lattice="-2.1998 3.5913 6.4345 2.1998 -3.5913 6.4345 2.1998 3.5913 -6.4345" Properties=species:S:1:pos:R:3 pbc="T T T"
K 0.0000 0.0000 0.0000
Ba 2.1998 0.0000 4.1535
Ba 0.0000 3.5913 2.2810
Cu 0.0000 0.0000 6.4345
```

Values from the calculation:
Mass density ... 3.08 g/cm3
M_tot ... 0.00 μB/f.u.



It is run x that is most stable; the runner-up trails by 13.5 kJ/mol of atoms.



Run w
The following is a DFT calculation (PBE) of crystalline KBa2Cu at its relaxed geometry.

Structure (extended XYZ):
```
8
Lattice="-5.1911 5.1911 3.8919 5.1911 -5.1911 3.8919 5.1911 5.1911 -3.8919" Properties=species:S:1:pos:R:3 pbc="T T T"
K 0.0000 0.0000 0.0000
K 0.0000 5.1911 1.9459
Ba 2.5956 -1.4975 2.9189
Ba 3.6936 2.5956 0.9730
Ba 2.5956 6.6886 -0.9730
Ba 1.4975 2.5956 4.8649
Cu 5.1911 0.0000 1.9459
Cu 0.0000 0.0000 3.8919
```

Values from the calculation:
Mass density ... 2.99 g/cm3
M_tot ... 0.00 μB/f.u.



Run x
The following is a DFT calculation (PBE) of crystalline KBa2Cu at its relaxed geometry.

Structure (extended XYZ):
```
4
Lattice="-2.0991 2.3204 10.6124 2.0991 -2.3204 10.6124 2.0991 2.3204 -10.6124" Properties=species:S:1:pos:R:3 pbc="T T T"
K 0.0000 0.0000 0.0000
Ba 2.0991 0.0000 6.9831
Ba 0.0000 0.0000 14.0953
Cu 0.0000 2.3204 5.9416
```

Values from the calculation:
Mass density ... 3.03 g/cm3
M_tot ... 0.00 μB/f.u.



It is run x that is most stable; the runner-up trails by 8.6 kJ/mol of atoms.



Run w
The following is a DFT calculation (PBE) of crystalline KBaCu2 at its relaxed geometry.

Structure (extended XYZ):
```
4
Lattice="4.0112 -2.3262 0.0000 4.0112 2.3262 0.0000 -2.6896 0.0000 8.0152" Properties=species:S:1:pos:R:3 pbc="T T T"
K 0.0000 0.0000 0.0000
Ba 2.6664 0.0000 4.0076
Cu -0.0227 0.0000 5.8728
Cu 5.3555 0.0000 2.1424
```

Values from the calculation:
Mass density ... 3.37 g/cm3
M_tot ... 0.00 μB/f.u.



Run x
The following is a DFT calculation (PBE) of crystalline KBaCu2 at its relaxed geometry.

Structure (extended XYZ):
```
4
Lattice="4.3377 0.0000 0.0000 0.0000 4.2174 0.0000 -2.1043 0.0000 7.8744" Properties=species:S:1:pos:R:3 pbc="T T T"
K 0.0000 0.0000 0.0000
Ba -1.0522 0.0000 3.9372
Cu 1.1386 2.1087 2.6860
Cu 1.0948 2.1087 5.1884
```

Values from the calculation:
Mass density ... 3.50 g/cm3
M_tot ... 0.00 μB/f.u.



It is run x that is most stable; the runner-up trails by 11.0 kJ/mol of atoms.



Run w
The following is a DFT calculation (PBE) of crystalline KBaCu2 at its relaxed geometry.

Structure (extended XYZ):
```
4
Lattice="0.0000 3.9532 3.9532 3.9532 0.0000 3.9532 3.9532 3.9532 0.0000" Properties=species:S:1:pos:R:3 pbc="T T T"
K 0.0000 0.0000 0.0000
Ba 3.9532 3.9532 3.9532
Cu 1.9766 1.9766 1.9766
Cu 5.9297 5.9297 5.9297
```

Values from the calculation:
Mass density ... 4.08 g/cm3
M_tot ... 0.00 μB/f.u.



Run x
The following is a DFT calculation (PBE) of crystalline KBaCu2 at its relaxed geometry.

Structure (extended XYZ):
```
4
Lattice="3.9383 -3.9379 0.0000 3.9383 3.9379 0.0000 -0.0065 0.0000 3.9666" Properties=species:S:1:pos:R:3 pbc="T T T"
K 0.0000 0.0000 0.0000
Ba 3.9383 0.0000 0.0000
Cu 1.9659 1.9690 1.9833
Cu 1.9659 -1.9690 1.9833
```

Values from the calculation:
Mass density ... 4.10 g/cm3
M_tot ... 0.00 μB/f.u.



It is run w that is most stable; the runner-up trails by 0.9 kJ/mol of atoms.



Run w
The following is a DFT calculation (PBE) of crystalline KBaCu2 at its relaxed geometry.

Structure (extended XYZ):
```
4
Lattice="-2.3366 2.3366 5.5135 2.3366 -2.3366 5.5135 2.3366 2.3366 -5.5135" Properties=species:S:1:pos:R:3 pbc="T T T"
K 0.0000 0.0000 0.0000
Ba 2.3366 0.0000 2.7567
Cu 0.0000 0.0000 5.5135
Cu 0.0000 2.3366 2.7567
```

Values from the calculation:
Mass density ... 4.19 g/cm3
M_tot ... 0.00 μB/f.u.



Run x
The following is a DFT calculation (PBE) of crystalline KBaCu2 at its relaxed geometry.

Structure (extended XYZ):
```
4
Lattice="-2.1992 2.2063 8.1615 2.1992 -2.2063 8.1615 2.1992 2.2063 -8.1615" Properties=species:S:1:pos:R:3 pbc="T T T"
K 0.0000 0.0000 0.0000
Ba 2.1992 0.0000 4.2798
Cu 0.0000 0.0000 6.5630
Cu 0.0000 2.2063 5.5749
```

Values from the calculation:
Mass density ... 3.18 g/cm3
M_tot ... 0.00 μB/f.u.



Run y
The following is a DFT calculation (PBE) of crystalline KBaCu2 at its relaxed geometry.

Structure (extended XYZ):
```
4
Lattice="4.2385 0.0000 0.0000 0.0000 4.2385 0.0000 0.0000 0.0000 7.7847" Properties=species:S:1:pos:R:3 pbc="T T T"
K 0.0000 0.0000 0.0000
Ba 0.0000 0.0000 3.8923
Cu 2.1193 2.1193 2.6061
Cu 2.1193 2.1193 5.1786
```

Values from the calculation:
Mass density ... 3.60 g/cm3
M_tot ... 0.00 μB/f.u.



Run z
The following is a DFT calculation (PBE) of crystalline KBaCu2 at its relaxed geometry.

Structure (extended XYZ):
```
8
Lattice="-4.3073 4.3073 3.7654 4.3073 -4.3073 3.7654 4.3073 4.3073 -3.7654" Properties=species:S:1:pos:R:3 pbc="T T T"
K 0.0000 0.0000 0.0000
K 0.0000 4.3073 1.8827
Ba 4.3073 0.0000 1.8827
Ba 0.0000 0.0000 3.7654
Cu 2.1536 2.1522 -0.9413
Cu 2.1550 -2.1536 4.7067
Cu 2.1536 2.1550 2.8240
Cu 2.1522 6.4609 0.9413
```

Values from the calculation:
Mass density ... 3.61 g/cm3
M_tot ... 0.00 μB/f.u.



It is run x that is most stable; the runner-up trails by 3.8 kJ/mol of atoms.